{"formula": "Ce3ZrPa2P6", "functional": "PBE-GGA", "state": "relaxed", "lattice": [[6.886, -0.001, -0.001], [-3.442, 5.964, -0.001], [-1.150, -1.991, 6.531]], "species": ["Ce", "Ce", "Ce", "Zr", "Pa", "Pa", "P", "P", "P", "P", "P", "P"], "fractional_positions": [[0.168, 0.832, 0.500], [0.832, 0.168, 0.500], [0.500, 0.500, 0.500], [0.000, 0.000, 0.000], [0.334, 0.666, 0.000], [0.666, 0.334, 0.000], [0.922, 0.594, 0.764], [0.753, 0.753, 0.238], [0.078, 0.406, 0.236], [0.594, 0.922, 0.764], [0.247, 0.247, 0.762], [0.406, 0.078, 0.236]], "n_ef_per_ev_atom": 1.24, "formation_enthalpy_0k_mev_per_atom": -1430}

{"formula": "Pr4In5Si2", "functional": "PBE-GGA", "state": "relaxed", "lattice": [[4.431, 0.000, 0.000], [0.000, 7.638, 0.125], [0.000, -0.595, 8.810]], "species": ["Pr", "Pr", "Pr", "Pr", "In", "In", "In", "In", "In", "Si", "Si"], "fractional_positions": [[0.500, 0.770, 0.590], [0.500, 0.205, 0.856], [0.500, 0.230, 0.410], [0.500, 0.795, 0.144], [0.000, 0.552, 0.339], [0.000, 0.136, 0.133], [0.000, 0.500, 0.000], [0.000, 0.864, 0.867], [0.000, 0.448, 0.661], [0.000, 0.077, 0.622], [0.000, 0.923, 0.378]], "n_ef_per_ev_atom": 0.69, "raw_formation_energy_ev_per_atom": -0.517}

{"formula": "YMnZn2", "functional": "PBE-GGA", "state": "relaxed", "lattice": [[3.203, 0.000, 0.000], [0.000, 3.203, 0.000], [0.000, 0.000, 7.157]], "species": ["Mn", "Y", "Zn", "Zn"], "fractional_positions": [[0.000, 0.000, 0.456], [0.500, 0.500, 0.736], [0.000, 0.000, 0.048], [0.500, 0.500, 0.261]], "n_ef_per_ev_atom": 0.63, "formation_enthalpy_0k_mev_per_atom": 3}

{"formula": "KTmGe2I8", "functional": "PBE-GGA", "state": "relaxed", "lattice": [[7.720, 0.273, 0.324], [0.322, 7.216, 0.200], [0.420, 0.286, 9.607]], "species": ["K", "Tm", "Ge", "Ge", "I", "I", "I", "I", "I", "I", "I", "I"], "fractional_positions": [[0.000, 0.000, 0.500], [0.000, 0.000, 0.000], [0.460, 0.453, 0.745], [0.540, 0.547, 0.255], [0.169, 0.753, 0.218], [0.682, 0.773, 0.027], [0.843, 0.255, 0.222], [0.831, 0.247, 0.782], [0.318, 0.227, 0.973], [0.157, 0.745, 0.778], [0.639, 0.722, 0.474], [0.361, 0.278, 0.526]], "n_ef_per_ev_atom": 0.00, "raw_formation_energy_ev_per_atom": -0.796}

{"formula": "Ba2SrPt2", "functional": "PBE-GGA", "state": "relaxed", "lattice": [[-4.637, -2.002, 7.602], [-0.895, -8.634, -2.819], [3.202, -0.893, 1.718]], "species": ["Sr", "Sr", "Ba", "Ba", "Ba", "Ba", "Pt", "Pt", "Pt", "Pt"], "fractional_positions": [[0.000, 0.000, 0.000], [0.500, 0.500, 0.000], [0.365, 0.865, 0.000], [0.865, 0.635, 0.000], [0.635, 0.135, 0.000], [0.135, 0.365, 0.000], [0.169, 0.669, 0.500], [0.669, 0.831, 0.500], [0.831, 0.331, 0.500], [0.331, 0.169, 0.500]], "n_ef_per_ev_atom": 1.00, "formation_enthalpy_0k_mev_per_atom": -426}

{"formula": "LuPaH", "functional": "PBE-GGA", "state": "relaxed", "lattice": [[-1.165, -2.474, -1.870], [3.256, 0.599, 0.113], [0.512, -3.634, 4.489]], "species": ["H", "Pa", "Lu"], "fractional_positions": [[0.333, 0.667, 0.658], [0.000, 0.000, 0.924], [0.667, 0.333, 0.418]], "n_ef_per_ev_atom": 1.46, "energy_ev_per_cell": -17.735}

{"formula": "ZrPaCo10", "functional": "PBE-GGA", "state": "relaxed", "lattice": [[-2.198, 3.260, -0.718], [-2.753, -2.516, -2.999], [-5.026, -2.001, 6.292]], "species": ["Zr", "Pa", "Co", "Co", "Co", "Co", "Co", "Co", "Co", "Co", "Co", "Co"], "fractional_positions": [[0.000, 0.500, 0.500], [0.000, 0.000, 0.000], [0.000, 0.000, 0.326], [0.000, 0.500, 0.837], [0.000, 0.500, 0.163], [0.000, 0.000, 0.674], [0.500, 0.000, 0.500], [0.500, 0.500, 0.000], [0.500, 0.258, 0.258], [0.500, 0.742, 0.742], [0.500, 0.742, 0.258], [0.500, 0.258, 0.742]], "n_ef_per_ev_atom": 1.36, "formation_enthalpy_0k_mev_per_atom": -154}

{"formula": "LaNi2Ir", "functional": "PBE-GGA", "state": "relaxed", "lattice": [[-1.045, 4.765, 0.736], [-0.449, 0.827, 4.843], [3.543, -2.216, -2.622]], "species": ["Ir", "La", "Ni", "Ni"], "fractional_positions": [[0.499, 0.499, 0.000], [0.250, 0.750, 0.500], [0.000, 0.000, 0.000], [0.751, 0.251, 0.500]], "n_ef_per_ev_atom": 1.08, "formation_enthalpy_0k_mev_per_atom": -10}

{"formula": "Li2PmVN4", "functional": "PBE-GGA", "state": "relaxed", "lattice": [[-1.831, 3.699, -3.408], [-3.655, -1.012, -3.338], [-3.194, 3.634, 1.457]], "species": ["Li", "Li", "Pm", "V", "N", "N", "N", "N"], "fractional_positions": [[0.500, 0.750, 0.250], [0.500, 0.250, 0.750], [0.000, 0.000, 0.000], [0.000, 0.500, 0.500], [0.600, 0.552, 0.848], [0.400, 0.152, 0.448], [0.000, 0.448, 0.152], [0.000, 0.848, 0.552]], "n_ef_per_ev_atom": 0.68, "raw_formation_energy_ev_per_atom": -0.584}

{"formula": "Dy5PuS6", "functional": "PBE-GGA", "state": "relaxed", "lattice": [[0.883, 4.442, 5.055], [4.787, -2.286, 4.199], [6.489, 1.635, -1.057]], "species": ["S", "S", "S", "S", "S", "S", "Pu", "Dy", "Dy", "Dy", "Dy", "Dy"], "fractional_positions": [[0.748, 0.084, 0.335], [0.252, 0.581, 0.335], [0.251, 0.252, 0.000], [0.749, 0.748, 0.000], [0.748, 0.419, 0.665], [0.252, 0.916, 0.665], [0.000, 0.000, 0.000], [0.500, 0.167, 0.665], [0.000, 0.333, 0.335], [0.500, 0.500, 0.000], [0.000, 0.667, 0.665], [0.500, 0.833, 0.335]], "n_ef_per_ev_atom": 1.00, "raw_formation_energy_ev_per_atom": -1.975}

{"formula": "PrTm12Th5", "functional": "PBE-GGA", "state": "relaxed", "lattice": [[10.541, -0.001, -0.004], [5.270, 9.152, -0.637], [0.002, -1.606, 5.898]], "species": ["Pr", "Tm", "Tm", "Tm", "Tm", "Tm", "Tm", "Tm", "Tm", "Tm", "Tm", "Tm", "Tm", "Th", "Th", "Th", "Th", "Th"], "fractional_positions": [[0.000, 0.000, 0.000], [0.832, 0.000, 0.500], [0.168, 0.000, 0.500], [0.663, 0.000, 0.000], [0.337, 0.000, 0.000], [0.335, 0.664, 0.001], [0.001, 0.664, 0.001], [0.999, 0.336, 0.999], [0.665, 0.336, 0.999], [0.500, 0.333, 0.500], [0.833, 0.667, 0.500], [0.167, 0.333, 0.500], [0.500, 0.667, 0.500], [0.500, 0.000, 0.500], [0.169, 0.663, 0.492], [0.831, 0.337, 0.508], [0.667, 0.667, 0.999], [0.333, 0.333, 0.001]], "n_ef_per_ev_atom": 1.45, "formation_enthalpy_0k_mev_per_atom": 40}

{"formula": "TbGdHoPu", "functional": "PBE-GGA", "state": "relaxed", "lattice": [[-2.068, 2.081, 4.759], [-5.373, 1.519, 0.285], [-3.600, -3.013, 3.037]], "species": ["Gd", "Tb", "Ho", "Pu"], "fractional_positions": [[0.250, 0.250, 0.250], [0.750, 0.750, 0.750], [0.500, 0.500, 0.500], [0.000, 0.000, 0.000]], "n_ef_per_ev_atom": 2.73, "formation_enthalpy_0k_mev_per_atom": 186}

{"formula": "KBC", "functional": "PBE-GGA", "state": "relaxed", "lattice": [[-5.468, 2.100, 6.563], [3.649, -3.731, 4.234], [0.683, 1.432, 6.006]], "species": ["K", "K", "B", "B", "C", "C"], "fractional_positions": [[0.144, 0.144, 0.711], [0.644, 0.144, 0.711], [0.407, 0.426, 0.687], [0.907, 0.887, 0.687], [0.156, 0.158, 0.187], [0.656, 0.654, 0.187]], "n_ef_per_ev_atom": 0.00, "formation_enthalpy_0k_mev_per_atom": 109}

{"formula": "K3Pu2ZnSe6", "functional": "PBE-GGA", "state": "relaxed", "lattice": [[7.241, 0.000, 0.001], [-3.619, 6.272, 0.001], [-1.207, -2.090, 7.628]], "species": ["K", "K", "K", "Pu", "Pu", "Zn", "Se", "Se", "Se", "Se", "Se", "Se"], "fractional_positions": [[0.167, 0.833, 0.500], [0.833, 0.167, 0.500], [0.500, 0.500, 0.500], [0.333, 0.667, 0.000], [0.667, 0.333, 0.000], [0.000, 0.000, 0.000], [0.934, 0.608, 0.801], [0.740, 0.740, 0.199], [0.066, 0.392, 0.199], [0.608, 0.934, 0.801], [0.260, 0.260, 0.801], [0.392, 0.066, 0.199]], "n_ef_per_ev_atom": 1.67, "raw_formation_energy_ev_per_atom": -1.197}

{"formula": "Tb3Ho3In", "functional": "PBE-GGA", "state": "relaxed", "lattice": [[5.550, 0.000, 0.000], [0.000, 9.354, -0.028], [0.000, -4.657, 8.113]], "species": ["Tb", "Tb", "Tb", "Tb", "Tb", "Tb", "Ho", "Ho", "Ho", "Ho", "Ho", "Ho", "In", "In"], "fractional_positions": [[0.750, 0.756, 0.820], [0.750, 0.065, 0.244], [0.750, 0.180, 0.936], [0.250, 0.244, 0.180], [0.250, 0.935, 0.756], [0.250, 0.820, 0.064], [0.250, 0.518, 0.624], [0.250, 0.105, 0.482], [0.250, 0.376, 0.895], [0.750, 0.482, 0.376], [0.750, 0.895, 0.518], [0.750, 0.624, 0.105], [0.750, 0.333, 0.667], [0.250, 0.667, 0.333]], "n_ef_per_ev_atom": 1.33, "formation_enthalpy_0k_mev_per_atom": -103}

{"formula": "ErSnF6", "functional": "PBE-GGA", "state": "relaxed", "lattice": [[5.146, -0.122, -0.023], [-2.027, 4.731, -0.023], [-0.601, -0.889, 5.453]], "species": ["Er", "Sn", "F", "F", "F", "F", "F", "F"], "fractional_positions": [[0.000, 0.000, 0.000], [0.500, 0.500, 0.500], [0.242, 0.242, 0.743], [0.408, 0.102, 0.245], [0.758, 0.758, 0.257], [0.898, 0.592, 0.755], [0.592, 0.898, 0.755], [0.102, 0.408, 0.245]], "n_ef_per_ev_atom": 0.45, "raw_formation_energy_ev_per_atom": -3.093}

{"formula": "Mg2TlSn", "functional": "PBE-GGA", "state": "relaxed", "lattice": [[3.387, 0.000, 0.000], [1.693, 2.933, 0.000], [1.693, 0.978, 10.714]], "species": ["Mg", "Mg", "Tl", "Sn"], "fractional_positions": [[0.091, 0.091, 0.727], [0.909, 0.909, 0.273], [0.500, 0.500, 0.500], [0.000, 0.000, 0.000]], "n_ef_per_ev_atom": 0.49, "formation_enthalpy_0k_mev_per_atom": 51}

{"formula": "Li2PrMg2Bi2", "functional": "PBE-GGA", "state": "relaxed", "lattice": [[-4.282, -2.245, -0.127], [-1.248, -3.030, 3.557], [-5.406, 4.792, 5.474]], "species": ["Li", "Li", "Pr", "Mg", "Mg", "Bi", "Bi"], "fractional_positions": [[0.567, 0.567, 0.299], [0.433, 0.433, 0.701], [0.000, 0.000, 0.000], [0.139, 0.139, 0.582], [0.861, 0.861, 0.418], [0.740, 0.740, 0.781], [0.260, 0.260, 0.219]], "n_ef_per_ev_atom": 0.50, "formation_enthalpy_0k_mev_per_atom": -369}

{"formula": "Li6AlCd3", "functional": "PBE-GGA", "state": "relaxed", "lattice": [[4.669, 0.000, 0.000], [0.000, 7.612, -2.543], [0.000, 0.011, 9.885]], "species": ["Li", "Li", "Li", "Li", "Li", "Li", "Li", "Li", "Li", "Li", "Li", "Li", "Al", "Al", "Cd", "Cd", "Cd", "Cd", "Cd", "Cd"], "fractional_positions": [[0.250, 0.456, 0.098], [0.750, 0.544, 0.902], [0.250, 0.150, 0.190], [0.750, 0.850, 0.810], [0.250, 0.655, 0.692], [0.750, 0.345, 0.308], [0.250, 0.247, 0.489], [0.750, 0.753, 0.511], [0.250, 0.856, 0.297], [0.750, 0.144, 0.703], [0.250, 0.049, 0.887], [0.750, 0.951, 0.113], [0.250, 0.958, 0.584], [0.750, 0.042, 0.416], [0.250, 0.556, 0.398], [0.750, 0.444, 0.602], [0.250, 0.346, 0.794], [0.750, 0.654, 0.206], [0.250, 0.754, 0.995], [0.750, 0.246, 0.005]], "n_ef_per_ev_atom": 0.30, "formation_enthalpy_0k_mev_per_atom": -194}

{"formula": "MgOsPb2", "functional": "PBE-GGA", "state": "relaxed", "lattice": [[3.241, 0.547, 0.000], [-0.547, 3.241, 0.000], [0.000, 0.000, 8.614]], "species": ["Mg", "Os", "Pb", "Pb"], "fractional_positions": [[0.000, 0.000, 0.559], [0.500, 0.500, 0.724], [0.000, 0.000, 0.928], [0.500, 0.500, 0.290]], "n_ef_per_ev_atom": 1.11, "formation_enthalpy_0k_mev_per_atom": 393}

{"formula": "AgP2HCl", "functional": "PBE-GGA", "state": "relaxed", "lattice": [[4.831, 0.000, 0.000], [0.000, 4.831, 0.000], [0.000, 0.000, 5.350]], "species": ["P", "P", "H", "Ag", "Cl"], "fractional_positions": [[0.000, 0.500, 0.000], [0.500, 0.000, 0.000], [0.500, 0.500, 0.500], [0.000, 0.000, 0.000], [0.000, 0.000, 0.500]], "n_ef_per_ev_atom": 0.69, "energy_ev_per_cell": -12.289}

{"formula": "Mg2MnIr", "functional": "PBE-GGA", "state": "relaxed", "lattice": [[6.402, 0.000, 0.000], [-2.500, 4.006, -0.032], [1.402, 0.897, 2.494]], "species": ["Ir", "Mg", "Mg", "Mn"], "fractional_positions": [[0.500, 0.500, 0.000], [0.000, 0.000, 0.000], [0.500, 0.000, 0.500], [0.000, 0.500, 0.500]], "n_ef_per_ev_atom": 0.55, "formation_enthalpy_0k_mev_per_atom": -38}

{"formula": "FeTeBr2", "functional": "PBE-GGA", "state": "relaxed", "lattice": [[-3.630, 3.488, -4.563], [-5.893, 1.083, -3.205], [-2.223, 3.783, 2.997]], "species": ["Br", "Br", "Fe", "Te"], "fractional_positions": [[0.106, 0.106, 0.929], [0.394, 0.394, 0.571], [0.750, 0.750, 0.750], [0.250, 0.250, 0.250]], "n_ef_per_ev_atom": 0.86, "raw_formation_energy_ev_per_atom": 0.086}